{"formula": "Np2BiO2", "functional": "PBE-GGA", "state": "relaxed", "total_energy_ev_per_atom": -9.73, "space_group": "Pnma (62)", "formation_energy_uncorrected_ev_per_atom": -1.80, "lattice_angstrom": [[3.8797, 0.0000, 0.0000], [0.0000, 9.5438, 0.0000], [0.0000, 0.0000, 11.0581]], "species": ["O", "O", "O", "O", "O", "O", "O", "O", "Np", "Np", "Np", "Np", "Np", "Np", "Np", "Np", "Bi", "Bi", "Bi", "Bi"], "frac_coords": [[0.7500, 0.9098, 0.4560], [0.7500, 0.4098, 0.0440], [0.2500, 0.5902, 0.9560], [0.2500, 0.0902, 0.5440], [0.2500, 0.5509, 0.4179], [0.7500, 0.4491, 0.5821], [0.2500, 0.0509, 0.0821], [0.7500, 0.9491, 0.9179], [0.2500, 0.9847, 0.3624], [0.2500, 0.8522, 0.9675], [0.2500, 0.4847, 0.1376], [0.7500, 0.1478, 0.0325], [0.7500, 0.0153, 0.6376], [0.2500, 0.3522, 0.5325], [0.7500, 0.5153, 0.8624], [0.7500, 0.6478, 0.4675], [0.7500, 0.7577, 0.1922], [0.2500, 0.7423, 0.6922], [0.2500, 0.2423, 0.8078], [0.7500, 0.2577, 0.3078]]}



{"formula": "NpBi3O8", "functional": "PBE-GGA", "state": "relaxed", "total_energy_ev_per_atom": -7.02, "space_group": "Pm-3m (221)", "formation_energy_uncorrected_ev_per_atom": -1.66, "lattice_angstrom": [[5.4798, 0.0000, 0.0000], [0.0000, 5.4798, 0.0000], [0.0000, 0.0000, 5.4798]], "species": ["O", "O", "O", "O", "O", "O", "O", "O", "Bi", "Bi", "Bi", "Np"], "frac_coords": [[0.2344, 0.2344, 0.7655], [0.2344, 0.2344, 0.2344], [0.7655, 0.7655, 0.7655], [0.7655, 0.2344, 0.7655], [0.2344, 0.7655, 0.2344], [0.2344, 0.7655, 0.7655], [0.7655, 0.2344, 0.2344], [0.7655, 0.7655, 0.2344], [0.5000, 0.0000, 0.5000], [0.0000, 0.5000, 0.5000], [0.5000, 0.5000, 0.0000], [0.0000, 0.0000, 0.0000]]}



{"formula": "NpBi2O7", "functional": "PBE-GGA", "state": "relaxed", "total_energy_ev_per_atom": -7.16, "space_group": "C2/c (15)", "formation_energy_uncorrected_ev_per_atom": -1.62, "lattice_angstrom": [[6.2250, 0.0000, 3.0358], [2.5372, 5.9759, 2.6977], [-0.0799, -0.2208, 8.0642]], "species": ["Bi", "Bi", "Bi", "Bi", "O", "O", "O", "O", "O", "O", "O", "O", "O", "O", "O", "O", "O", "O", "Np", "Np"], "frac_coords": [[0.5712, 0.9191, 0.7006], [0.4288, 0.0809, 0.2994], [0.1909, 0.5809, 0.7994], [0.8091, 0.4191, 0.2006], [0.2652, 0.0688, 0.6056], [0.5069, 0.7500, 0.2500], [0.2467, 0.8640, 0.9954], [0.9031, 0.9354, 0.7285], [0.0969, 0.0646, 0.2715], [0.9395, 0.4312, 0.8944], [0.7533, 0.1360, 0.0046], [0.5670, 0.5646, 0.7715], [0.0605, 0.5688, 0.1056], [0.4330, 0.4354, 0.2285], [0.4931, 0.2500, 0.7500], [0.1060, 0.6360, 0.5046], [0.8940, 0.3640, 0.4954], [0.7348, 0.9312, 0.3944], [0.1696, 0.7500, 0.2500], [0.8304, 0.2500, 0.7500]]}



{"formula": "Np2BiO8", "functional": "PBE-GGA", "state": "relaxed", "total_energy_ev_per_atom": -8.36, "space_group": "C2/m (12)", "formation_energy_uncorrected_ev_per_atom": -2.05, "lattice_angstrom": [[-2.8344, 0.6123, 3.1125], [-3.4635, -0.0917, -5.0004], [1.0097, -5.9945, 0.2344]], "species": ["Np", "Np", "O", "O", "O", "O", "O", "O", "O", "O", "Bi"], "frac_coords": [[0.0000, 0.6907, 0.3093], [0.0000, 0.3093, 0.6907], [0.1887, 0.6589, 0.6589], [0.5000, 0.2739, 0.7261], [0.1381, 0.0159, 0.3130], [0.5000, 0.7261, 0.2739], [0.8619, 0.9841, 0.6870], [0.1381, 0.3130, 0.0159], [0.8113, 0.3411, 0.3411], [0.8619, 0.6870, 0.9841], [0.5000, 0.0000, 0.0000]]}



{"formula": "NpBiP2O8", "functional": "PBE-GGA", "state": "relaxed", "total_energy_ev_per_atom": -7.74, "space_group": "P-3m1 (164)", "formation_energy_uncorrected_ev_per_atom": -2.13, "lattice_angstrom": [[5.3590, 0.0000, 0.0000], [-2.6795, 4.6410, 0.0000], [0.0000, 0.0000, 7.2270]], "species": ["Bi", "O", "O", "O", "O", "O", "O", "O", "O", "P", "P", "Np"], "frac_coords": [[0.0000, 0.0000, 0.5000], [0.8242, 0.6485, 0.2296], [0.6667, 0.3333, 0.5177], [0.1758, 0.3515, 0.7704], [0.3515, 0.1758, 0.2296], [0.1758, 0.8242, 0.7704], [0.3333, 0.6667, 0.4823], [0.8242, 0.1758, 0.2296], [0.6485, 0.8242, 0.7704], [0.3333, 0.6667, 0.6922], [0.6667, 0.3333, 0.3078], [0.0000, 0.0000, 0.0000]]}



{"formula": "NpPaBiO2", "functional": "PBE-GGA", "state": "relaxed", "total_energy_ev_per_atom": -9.40, "space_group": "I4mm (107)", "formation_energy_uncorrected_ev_per_atom": -2.15, "lattice_angstrom": [[-1.5944, -2.3420, 2.7755], [-0.8612, -2.7009, -2.7738], [6.8480, -0.2149, 0.9187]], "species": ["O", "O", "Np", "Bi", "Pa"], "frac_coords": [[0.2544, 0.7544, 0.5088], [0.7544, 0.2544, 0.5088], [0.1486, 0.1486, 0.2972], [0.4986, 0.4986, 0.9971], [0.8441, 0.8441, 0.6881]]}



Magnetization per entry: 0.18, 0.11, 0.00, 1.00, 4.03, 5.00 μB per formula unit